Entry 1:
Material: CsIn3Hg10
Method: DFT, PBE-GGA
State: relaxed

The space group is Fm-3m (No. 225) and the conventional cell measures 15.4723, 15.4723 and 15.4723 Å, with angles of 90.00, 90.00 and 90.00 degrees. The inequivalent atoms are Cs at (0.2500, 0.2500, 0.2500), In at (0.0000, 0.0000, 0.2376), Hg at (0.0000, 0.1776, 0.3224) and Hg at (0.1108, 0.1108, 0.1108).

As for the crystal system: cubic. The total energy is -0.886 eV/atom.

***

Entry 2:
Material: Cs3InHg4
Method: DFT, PBE-GGA
State: relaxed

The space group is Imm2 (No. 44) and the conventional cell measures 7.3949, 9.0037 and 10.5474 Å, with angles of 90.00, 90.00 and 90.00 degrees. The inequivalent atoms are Cs at (0.0000, 0.0000, 0.0000), Cs at (0.0000, 0.2426, 0.6300), In at (0.0000, 0.5000, 0.0467), Hg at (0.0000, 0.2990, 0.2733) and Hg at (0.2135, 0.0000, 0.3534).

The polymorph energy (0 for the lowest one) is 0 meV/atom. As for the crystal system: orthorhombic. The total energy is -0.984 eV/atom.

***

Entry 3:
Material: Cs2In3Hg4
Method: DFT, PBE-GGA
State: relaxed

The space group is Cmce (No. 64) and the conventional cell measures 6.9966, 18.7136 and 9.3737 Å, with angles of 90.00, 90.00 and 90.00 degrees. The inequivalent atoms are Cs at (0.0000, 0.1101, 0.0940), In at (0.0000, 0.0000, 0.5000), In at (0.2500, 0.2170, 0.7500), Hg at (0.0000, 0.1854, 0.4756) and Hg at (0.2500, 0.0539, 0.7500).

As for the crystal system: orthorhombic. The total energy is -1.369 eV/atom.

***

Entry 4:
Material: CsInHg2
Method: DFT, PBE-GGA
State: relaxed

The space group is R-3m (No. 166, hexagonal axes) and the conventional cell measures 5.2056, 5.2056 and 19.9470 Å, with angles of 90.00, 90.00 and 120.00 degrees. The inequivalent atoms are Cs at (0.0000, 0.0000, 0.0000), In at (0.0000, 0.0000, 0.5000) and Hg at (0.0000, 0.0000, 0.2056).

As for the crystal system: trigonal. The total energy is -1.205 eV/atom.

***

Entry 5:
Material: Cs2In5Hg5
Method: DFT, PBE-GGA
State: relaxed

The space group is Pmmm (No. 47) and the conventional cell measures 5.1355, 6.4916 and 11.5800 Å, with angles of 90.00, 90.00 and 90.00 degrees. The inequivalent atoms are Cs at (0.0000, 0.0000, 0.0000), Cs at (0.0000, 0.5000, 0.5000), In at (0.5000, 0.0000, 0.5000), In at (0.5000, 0.2476, 0.2489), Hg at (0.0000, 0.0000, 0.3346), Hg at (0.0000, 0.5000, 0.1812) and Hg at (0.5000, 0.5000, 0.0000).

As for the crystal system: orthorhombic. The total energy is -1.512 eV/atom.

***

Entry 6:
Material: CsIn3Hg
Method: DFT, PBE-GGA
State: relaxed

The space group is Pm-3m (No. 221) and the conventional cell measures 5.8480, 5.8480 and 5.8480 Å, with angles of 90.00, 90.00 and 90.00 degrees. The inequivalent atoms are Cs at (0.0000, 0.0000, 0.0000), In at (0.0000, 0.5000, 0.5000) and Hg at (0.5000, 0.5000, 0.5000).

The polymorph energy (0 for the lowest one) is 294 meV/atom. As for the crystal system: cubic. The total energy is -1.705 eV/atom.

***

Calculated DFT formation energy in order - -0.0228 -0.1709 -0.1325 -0.1563 -0.1029 0.1694 eV per atom